# PBE-GGA MnSiIr2, optimized geometry
data_MnSiIr2
_chemical_formula_sum 'Mn1 Si1 Ir2'
_symmetry_space_group_name_H-M 'P 4/m m m'
_symmetry_Int_Tables_number 123
_symmetry_space_group_name_Hall '-P 4 2'
_cell_length_a 3.9697
_cell_length_b 3.9697
_cell_length_c 3.4511
_cell_angle_alpha 90.00
_cell_angle_beta 90.00
_cell_angle_gamma 90.00
loop_
_atom_site_label
_atom_site_type_symbol
_atom_site_fract_x
_atom_site_fract_y
_atom_site_fract_z
Mn1 Mn 0.0000 0.0000 0.0000
Si1 Si 0.5000 0.5000 0.0000
Ir1 Ir 0.0000 0.5000 0.5000
# formation energy (no corrections): -0.3867 eV/atom
# M_tot: 0.904 μB per atom
# total energy: -8.4654 eV/atom